(1)
The following is a PBE-GGA calculation of crystalline PuMgBeO6 at its relaxed geometry, from Alexandria via LeMat-Bulk. Values from VASP.

## Properties
Energy relative to the elements, uncorrected in eV per formula unit: -18.91
Volume in Å³/cell: 196
Space group: P-31c (163)
Total DFT energy (no corrections) in eV per cell: -136.6

Structure (Quantum ESPRESSO input):
```
&SYSTEM
  ibrav = 0, nat = 18, ntyp = 4
/
ATOMIC_SPECIES
O 16.00 O.upf
Be 9.01 Be.upf
Mg 24.30 Mg.upf
Pu 244.00 Pu.upf
CELL_PARAMETERS angstrom
-4.7875 0.7899 1.1076
2.6627 -3.2620 2.6533
2.4270 6.6536 5.7447
ATOMIC_POSITIONS angstrom
O 0.2299 2.5953 6.1201
O 1.4173 4.8415 6.2852
O 2.4158 3.0842 4.6304
O -2.2287 2.8777 2.8618
O 0.0723 1.5863 3.3855
O -3.4630 0.5770 2.7797
O 3.7652 3.6045 6.7260
O -1.3357 1.1378 1.2315
O -1.1152 -0.6600 3.2205
O -2.1137 1.0974 4.8752
O 1.6379 3.0438 8.2742
O 2.5309 1.3038 6.6438
Be -1.6973 1.1027 3.0590
Be 1.9995 3.0788 6.4466
Mg 0.0000 0.0000 0.0000
Mg 1.2135 3.3268 2.8724
Pu 0.7860 -0.2480 3.5742
Pu -0.4839 4.4295 5.9314
```

(2)
The following is a PBE-GGA calculation of crystalline LuAgRhAu at its relaxed geometry, from Alexandria via LeMat-Bulk. Values from VASP.

## Properties
Volume in Å³/cell: 74
Space group: F-43m (216)
Total DFT energy (no corrections) in eV per cell: -19.9
ΔE_f in eV per formula unit: -1.917

Structure (Quantum ESPRESSO input):
```
&SYSTEM
  ibrav = 0, nat = 4, ntyp = 4
/
ATOMIC_SPECIES
Au 196.97 Au.upf
Rh 102.91 Rh.upf
Ag 107.87 Ag.upf
Lu 174.97 Lu.upf
CELL_PARAMETERS angstrom
-2.5576 2.4855 -3.0712
-4.5433 -1.0357 -0.6609
-3.3332 2.9398 1.5487
ATOMIC_POSITIONS angstrom
Au -5.2171 2.1948 -1.0917
Rh 0.0000 0.0000 0.0000
Ag -2.6085 1.0974 -0.5458
Lu -7.8256 3.2922 -1.6375
```

(3)
The following is a PBE-GGA calculation of crystalline CrCdBr2 at its relaxed geometry, from Alexandria via LeMat-Bulk. Values from VASP.

## Properties
Energy relative to the elements, uncorrected in eV per formula unit: -0.29
Volume in Å³/cell: 110
Space group: P4/mmm (123)
Total DFT energy (no corrections) in eV per cell: -14.2

Structure (Quantum ESPRESSO input):
```
&SYSTEM
  ibrav = 0, nat = 4, ntyp = 3
/
ATOMIC_SPECIES
Cr 52.00 Cr.upf
Br 79.90 Br.upf
Cd 112.41 Cd.upf
CELL_PARAMETERS angstrom
3.3785 0.0000 0.0000
0.0000 3.3809 0.0000
0.0000 0.0000 9.5897
ATOMIC_POSITIONS angstrom
Cr 1.6893 1.6904 7.1923
Br 0.0000 0.0000 5.5578
Br 0.0000 0.0000 8.8267
Cd 1.6893 1.6904 2.3974
```

(4)
The following is a PBE-GGA calculation of crystalline CaDy2Ho at its relaxed geometry, from Alexandria via LeMat-Bulk. Values from VASP.

## Properties
Volume in Å³/cell: 134
Space group: P4/mmm (123)
Total DFT energy (no corrections) in eV per cell: -15.5
ΔE_f in eV per formula unit: 0.292

Structure (Quantum ESPRESSO input):
```
&SYSTEM
  ibrav = 0, nat = 4, ntyp = 3
/
ATOMIC_SPECIES
Ca 40.08 Ca.upf
Dy 162.50 Dy.upf
Ho 164.93 Ho.upf
CELL_PARAMETERS angstrom
-2.9909 1.8299 -0.8216
0.2163 -1.1722 -3.3983
-5.7280 -8.2487 2.4807
ATOMIC_POSITIONS angstrom
Ca -4.2513 -3.7955 -0.8696
Dy -4.4109 -6.3519 1.9103
Dy -1.3172 -1.8968 0.5704
Ho -1.3873 0.3288 -2.1099
```

(5)
The following is a PBE-GGA calculation of crystalline RbTc2Bi at its relaxed geometry, from Alexandria via LeMat-Bulk. Values from VASP.

## Properties
Volume in Å³/cell: 242
Space group: I4_1/amd (141)
Total DFT energy (no corrections) in eV per cell: -41.9
ΔE_f in eV per formula unit: 4.655

Structure (Quantum ESPRESSO input):
```
&SYSTEM
  ibrav = 0, nat = 8, ntyp = 3
/
ATOMIC_SPECIES
Bi 208.98 Bi.upf
Rb 85.47 Rb.upf
Tc 98.00 Tc.upf
CELL_PARAMETERS angstrom
4.9357 0.0000 0.0000
0.0000 4.9357 0.0000
2.4678 2.4678 9.9161
ATOMIC_POSITIONS angstrom
Bi 4.9357 2.4678 4.9581
Bi 0.0000 0.0000 0.0000
Rb 2.4678 4.9357 4.9581
Rb 2.4678 2.4678 0.0000
Tc 3.7018 2.4678 7.4371
Tc 4.9357 1.2339 2.4790
Tc 4.9357 3.7018 2.4790
Tc 6.1696 2.4679 7.4371
```

(6)
The following is a PBE-GGA calculation of crystalline Ho8GeS6 at its relaxed geometry, from Alexandria via LeMat-Bulk. Values from VASP.

## Properties
Energy relative to the elements, uncorrected in eV per formula unit: -22.47
Volume in Å³/cell: 342
Space group: P-3 (147)
Total DFT energy (no corrections) in eV per cell: -88.5

Structure (Quantum ESPRESSO input):
```
&SYSTEM
  ibrav = 0, nat = 15, ntyp = 3
/
ATOMIC_SPECIES
Ho 164.93 Ho.upf
Ge 72.64 Ge.upf
S 32.06 S.upf
CELL_PARAMETERS angstrom
3.9091 0.0000 0.0000
0.0000 8.6989 -5.0223
0.0000 0.0000 10.0446
ATOMIC_POSITIONS angstrom
Ho 0.9957 5.8594 6.3296
Ho 0.9957 2.5519 1.8055
Ho 0.9863 5.7993 0.0000
Ho 0.9957 0.2876 6.9319
Ho 2.9134 6.1470 3.2168
Ho 2.9134 2.8395 -1.3073
Ho 2.9228 2.8996 5.0223
Ho 2.9134 8.4113 -1.9096
Ge 1.9545 0.0000 0.0000
S 2.9364 4.1955 1.0727
S 0.9727 1.1688 4.1698
S 0.9727 3.0267 6.9475
S 2.9364 5.6722 -1.9252
S 2.9364 7.5301 0.8525
S 0.9727 4.5034 3.9496
```

(7)
The following is a PBE-GGA calculation of crystalline CsNa2HfCl8 at its relaxed geometry, from Alexandria via LeMat-Bulk. Values from VASP.

## Properties
Energy relative to the elements, uncorrected in eV per formula unit: -20.13
Volume in Å³/cell: 368
Space group: P-1 (2)
Total DFT energy (no corrections) in eV per cell: -48.3

Structure (Quantum ESPRESSO input):
```
&SYSTEM
  ibrav = 0, nat = 12, ntyp = 4
/
ATOMIC_SPECIES
Cl 35.45 Cl.upf
Hf 178.49 Hf.upf
Cs 132.91 Cs.upf
Na 22.99 Na.upf
CELL_PARAMETERS angstrom
6.7134 -0.0525 -0.0018
-0.0502 5.7586 0.0063
0.0093 0.0266 9.5222
ATOMIC_POSITIONS angstrom
Cl 2.0502 1.3811 0.0073
Cl 3.3716 4.2708 4.7646
Cl 0.9710 4.4060 7.7637
Cl 4.6223 4.3516 9.5193
Cl 5.7211 1.3565 7.7511
Cl 3.3009 1.4619 4.7620
Cl 0.9514 4.3763 1.7755
Cl 5.7016 1.3268 1.7629
Hf 0.0000 0.0000 0.0000
Cs 0.0047 0.0133 4.7611
Na 3.3335 2.8622 2.1049
Na 3.3391 2.8705 7.4217
```

(8)
The following is a PBE-GGA calculation of crystalline La5AlPd2 at its relaxed geometry, from Alexandria via LeMat-Bulk. Values from VASP.

## Properties
Volume in Å³/cell: 463
Space group: I4/mcm (140)
Total DFT energy (no corrections) in eV per cell: -85.5
ΔE_f in eV per formula unit: -3.982

Structure (Quantum ESPRESSO input):
```
&SYSTEM
  ibrav = 0, nat = 16, ntyp = 3
/
ATOMIC_SPECIES
Pd 106.42 Pd.upf
La 138.91 La.upf
Al 26.98 Al.upf
CELL_PARAMETERS angstrom
-7.5511 -2.4988 2.0051
0.7877 -6.4241 -5.0393
5.9863 0.7322 6.6783
ATOMIC_POSITIONS angstrom
Pd -0.6849 -2.7042 -1.6083
Pd -6.0784 -6.2187 -1.4258
Pd -4.6505 -2.4038 0.6100
Pd -2.1128 -6.5192 -3.6442
La -3.3817 -4.4615 -1.5171
La -0.8279 -2.4542 5.1632
La 0.0508 -5.7365 -1.5190
La -1.6709 -2.9639 1.3532
La 0.0000 0.0000 0.0000
La 0.8939 -5.2268 2.2909
La 2.8091 -0.0751 5.0468
La -3.5862 -8.1156 -1.4026
La 4.5309 -2.8477 2.1745
La -5.3079 -5.3430 1.4696
Al 1.3023 -1.8646 2.5806
Al -2.0794 -6.3261 1.0635
```

> Look up the volume of the fourth one.

134 Å³/cell